Material: PuZnI6
Method: DFT, GGA-PBE
State: relaxed

abc: 8.4856 7.4564 7.8364
angles: 99.64 105.69 124.71
Atoms (fractional coordinates):
I 0.9177 0.1477 0.2917
Zn 0.0000 0.0000 0.0000
I 0.3741 0.1441 0.2917
I 0.0823 0.8523 0.7083
I 0.6259 0.8559 0.7083
I 0.2604 0.5191 0.0000
I 0.7396 0.4809 0.0000
Pu 0.5000 0.0000 0.0000

The total moment comes out at 3.999 μB/f.u. The calculation puts the final energy at -3.76 eV per atom. The value obtained for the formation energy from raw total energies is -0.65 eV/atom. Its space group is No. 12. As for the density of states at the Fermi level: 10.87 states/eV/cell.